{"formula": "CoSiCl2", "functional": "PBE-GGA", "state": "relaxed", "lattice_angstrom": [[1.6692, 0.9637, 8.1473], [-1.6692, 0.9637, 8.1473], [0.0000, -1.9274, 8.1473]], "species": ["Co", "Si", "Cl", "Cl"], "frac_coords": [[0.0000, 0.0000, 0.0000], [0.5000, 0.5000, 0.5000], [0.3928, 0.3928, 0.3928], [0.6072, 0.6072, 0.6072]], "volume_a3_per_atom": 19.7, "n_ef_per_ev_atom": 1.295, "raw_formation_energy_mev_per_atom": 44}


{"formula": "CoSiCl2", "functional": "PBE-GGA", "state": "relaxed", "lattice_angstrom": [[-1.6263, 1.8247, 7.3166], [1.6263, -1.8247, 7.3166], [1.6263, 1.8247, -7.3166]], "species": ["Co", "Si", "Cl", "Cl"], "frac_coords": [[0.0000, 0.0000, 0.0000], [0.5000, 0.5000, 0.0000], [0.1319, 0.6319, 0.5000], [0.8681, 0.3681, 0.5000]], "volume_a3_per_atom": 21.7, "n_ef_per_ev_atom": 0.278, "raw_formation_energy_mev_per_atom": -96}


{"formula": "CoSi2Cl", "functional": "PBE-GGA", "state": "relaxed", "lattice_angstrom": [[1.8033, 1.0411, 6.5324], [-1.8033, 1.0411, 6.5324], [0.0000, -2.0823, 6.5324]], "species": ["Co", "Si", "Si", "Cl"], "frac_coords": [[0.0000, 0.0000, 0.0000], [0.2831, 0.2831, 0.2831], [0.5575, 0.5575, 0.5575], [0.7388, 0.7388, 0.7388]], "volume_a3_per_atom": 18.4, "n_ef_per_ev_atom": 0.289, "raw_formation_energy_mev_per_atom": 138}


{"formula": "CoSiCl2", "functional": "PBE-GGA", "state": "relaxed", "lattice_angstrom": [[3.0696, 0.0000, 0.0000], [0.0000, 4.1155, 0.0000], [0.0000, 0.0000, 5.7061]], "species": ["Co", "Si", "Cl", "Cl"], "frac_coords": [[0.0000, 0.0000, 0.0000], [0.5000, 0.0000, 0.5000], [0.0000, 0.5000, 0.5000], [0.5000, 0.5000, 0.0000]], "volume_a3_per_atom": 18.0, "n_ef_per_ev_atom": 1.133, "raw_formation_energy_mev_per_atom": 410}


{"formula": "CoSi2Cl2", "functional": "PBE-GGA", "state": "relaxed", "lattice_angstrom": [[8.2669, 0.0000, 0.0000], [0.0000, 8.2669, 0.0000], [0.0000, 0.0000, 2.9079]], "species": ["Co", "Co", "Si", "Si", "Si", "Si", "Cl", "Cl", "Cl", "Cl"], "frac_coords": [[0.0000, 0.0000, 0.0000], [0.5000, 0.5000, 0.0000], [0.2261, 0.2739, 0.5000], [0.2739, 0.7739, 0.5000], [0.7261, 0.2261, 0.5000], [0.7739, 0.7261, 0.5000], [0.1210, 0.6210, 0.0000], [0.3790, 0.1210, 0.0000], [0.6210, 0.8790, 0.0000], [0.8790, 0.3790, 0.0000]], "volume_a3_per_atom": 19.9, "n_ef_per_ev_atom": 0.691, "raw_formation_energy_mev_per_atom": 736}


{"formula": "CoSi2Cl", "functional": "PBE-GGA", "state": "relaxed", "lattice_angstrom": [[2.1698, -3.7538, 0.0000], [2.1698, 3.7538, 0.0000], [0.0000, 0.0000, 4.0897]], "species": ["Co", "Si", "Si", "Cl"], "frac_coords": [[0.0000, 0.0000, 0.0000], [0.1678, 0.8322, 0.5000], [0.8322, 0.1678, 0.5000], [0.5000, 0.5000, 0.0000]], "volume_a3_per_atom": 16.7, "n_ef_per_ev_atom": 0.643, "raw_formation_energy_mev_per_atom": 169}


{"formula": "Co3SiCl", "functional": "PBE-GGA", "state": "relaxed", "lattice_angstrom": [[4.3345, 0.0000, 0.0000], [0.0000, 4.3345, 0.0000], [0.0000, 0.0000, 4.3345]], "species": ["Co", "Co", "Co", "Si", "Cl"], "frac_coords": [[0.0000, 0.0000, 0.5000], [0.0000, 0.5000, 0.0000], [0.5000, 0.0000, 0.0000], [0.0000, 0.0000, 0.0000], [0.5000, 0.5000, 0.5000]], "volume_a3_per_atom": 16.3, "n_ef_per_ev_atom": 1.525, "raw_formation_energy_mev_per_atom": 808}


{"formula": "CoSi2Cl", "functional": "PBE-GGA", "state": "relaxed", "lattice_angstrom": [[3.5338, -1.6181, 0.0000], [3.5338, 1.6181, 0.0000], [-2.9624, 0.0000, 6.6751]], "species": ["Co", "Si", "Si", "Cl"], "frac_coords": [[0.0000, 0.0000, 0.0000], [0.2298, 0.2298, 0.8571], [0.4515, 0.4515, 0.6973], [0.6161, 0.6161, 0.2388]], "volume_a3_per_atom": 19.1, "n_ef_per_ev_atom": 0.617, "raw_formation_energy_mev_per_atom": 91}


{"formula": "CoSiCl2", "functional": "PBE-GGA", "state": "relaxed", "lattice_angstrom": [[3.5448, 0.0000, 0.0000], [0.0000, 3.1827, 0.0000], [-0.6329, 0.0000, 7.5262]], "species": ["Co", "Si", "Cl", "Cl"], "frac_coords": [[0.0000, 0.0000, 0.0000], [0.5029, 0.5000, 0.9414], [0.7686, 0.0000, 0.7059], [0.9927, 0.5000, 0.2322]], "volume_a3_per_atom": 21.2, "n_ef_per_ev_atom": 0.345, "raw_formation_energy_mev_per_atom": -184}


{"formula": "CoSiCl2", "functional": "PBE-GGA", "state": "relaxed", "lattice_angstrom": [[3.0454, 0.0000, 0.0000], [0.0000, 3.0454, 0.0000], [0.0000, 0.0000, 8.1225]], "species": ["Co", "Si", "Cl", "Cl"], "frac_coords": [[0.0000, 0.0000, 0.0000], [0.5000, 0.5000, 0.1546], [0.0000, 0.0000, 0.3693], [0.5000, 0.5000, 0.8203]], "volume_a3_per_atom": 18.8, "n_ef_per_ev_atom": 1.136, "raw_formation_energy_mev_per_atom": 77}


{"formula": "CoSiCl2", "functional": "PBE-GGA", "state": "relaxed", "lattice_angstrom": [[-1.8133, 1.8133, 5.7189], [1.8133, -1.8133, 5.7189], [1.8133, 1.8133, -5.7189]], "species": ["Co", "Si", "Cl", "Cl"], "frac_coords": [[0.0000, 0.0000, 0.0000], [0.2500, 0.7500, 0.5000], [0.5000, 0.5000, 0.0000], [0.7500, 0.2500, 0.5000]], "volume_a3_per_atom": 18.8, "n_ef_per_ev_atom": 1.349, "raw_formation_energy_mev_per_atom": 520}


{"formula": "CoSiCl2", "functional": "PBE-GGA", "state": "relaxed", "lattice_angstrom": [[2.9859, 0.0000, 0.0000], [0.0000, 2.9859, 0.0000], [0.0000, 0.0000, 8.7668]], "species": ["Co", "Si", "Cl", "Cl"], "frac_coords": [[0.0000, 0.0000, 0.0000], [0.0000, 0.0000, 0.5000], [0.5000, 0.5000, 0.1720], [0.5000, 0.5000, 0.8280]], "volume_a3_per_atom": 19.5, "n_ef_per_ev_atom": 0.687, "raw_formation_energy_mev_per_atom": 384}


{"formula": "CoSi2Cl", "functional": "PBE-GGA", "state": "relaxed", "lattice_angstrom": [[4.6327, 0.0000, 0.0000], [0.0000, 4.6327, 0.0000], [0.0000, 0.0000, 2.6884]], "species": ["Co", "Si", "Si", "Cl"], "frac_coords": [[0.0000, 0.0000, 0.0000], [0.0000, 0.5000, 0.5000], [0.5000, 0.0000, 0.5000], [0.5000, 0.5000, 0.0000]], "volume_a3_per_atom": 14.4, "n_ef_per_ev_atom": 0.509, "raw_formation_energy_mev_per_atom": 489}


{"formula": "Co2Si2Cl", "functional": "PBE-GGA", "state": "relaxed", "lattice_angstrom": [[-1.7493, 1.7493, 6.1424], [1.7493, -1.7493, 6.1424], [1.7493, 1.7493, -6.1424]], "species": ["Co", "Co", "Si", "Si", "Cl"], "frac_coords": [[0.1336, 0.1336, 0.0000], [0.8664, 0.8664, 0.0000], [0.2500, 0.7500, 0.5000], [0.7500, 0.2500, 0.5000], [0.5000, 0.5000, 0.0000]], "volume_a3_per_atom": 15.0, "n_ef_per_ev_atom": 0.777, "raw_formation_energy_mev_per_atom": -67}


{"formula": "CoSi2Cl", "functional": "PBE-GGA", "state": "relaxed", "lattice_angstrom": [[3.4504, 0.0000, 0.0000], [0.0000, 3.4504, 0.0000], [0.0000, 0.0000, 5.6528]], "species": ["Co", "Si", "Si", "Cl"], "frac_coords": [[0.0000, 0.0000, 0.0000], [0.0000, 0.5000, 0.5000], [0.5000, 0.0000, 0.5000], [0.5000, 0.5000, 0.0000]], "volume_a3_per_atom": 16.8, "n_ef_per_ev_atom": 1.086, "raw_formation_energy_mev_per_atom": 566}


{"formula": "CoSiCl2", "functional": "PBE-GGA", "state": "relaxed", "lattice_angstrom": [[6.5634, -1.5800, 0.0000], [6.5634, 1.5800, 0.0000], [-1.5509, 0.0000, 4.4526]], "species": ["Co", "Si", "Cl", "Cl"], "frac_coords": [[0.0000, 0.0000, 0.0000], [0.4724, 0.4724, 0.6531], [0.5981, 0.5981, 0.4305], [0.8607, 0.8607, 0.2117]], "volume_a3_per_atom": 23.1, "n_ef_per_ev_atom": 0.299, "raw_formation_energy_mev_per_atom": -157}


{"formula": "CoSi2Cl2", "functional": "PBE-GGA", "state": "relaxed", "lattice_angstrom": [[-1.6503, 1.6503, 10.5795], [1.6503, -1.6503, 10.5795], [1.6503, 1.6503, -10.5795]], "species": ["Co", "Si", "Si", "Cl", "Cl"], "frac_coords": [[0.0000, 0.0000, 0.0000], [0.2500, 0.7500, 0.5000], [0.7500, 0.2500, 0.5000], [0.4305, 0.4305, 0.0000], [0.5695, 0.5695, 0.0000]], "volume_a3_per_atom": 23.0, "n_ef_per_ev_atom": 0.377, "raw_formation_energy_mev_per_atom": 317}


{"formula": "CoSiCl2", "functional": "PBE-GGA", "state": "relaxed", "lattice_angstrom": [[0.0000, 3.2379, 3.2379], [3.2379, 0.0000, 3.2379], [3.2379, 3.2379, 0.0000]], "species": ["Co", "Si", "Cl", "Cl"], "frac_coords": [[0.0000, 0.0000, 0.0000], [0.2500, 0.2500, 0.2500], [0.5000, 0.5000, 0.5000], [0.7500, 0.7500, 0.7500]], "volume_a3_per_atom": 17.0, "n_ef_per_ev_atom": 1.560, "raw_formation_energy_mev_per_atom": 685}


{"formula": "CoSi2Cl", "functional": "PBE-GGA", "state": "relaxed", "lattice_angstrom": [[-2.1875, 2.1875, 3.0871], [2.1875, -2.1875, 3.0871], [2.1875, 2.1875, -3.0871]], "species": ["Co", "Si", "Si", "Cl"], "frac_coords": [[0.0000, 0.0000, 0.0000], [0.5000, 0.5000, 0.0000], [0.7500, 0.2500, 0.5000], [0.2500, 0.7500, 0.5000]], "volume_a3_per_atom": 14.8, "n_ef_per_ev_atom": 0.873, "raw_formation_energy_mev_per_atom": 649}


{"formula": "CoSiCl2", "functional": "PBE-GGA", "state": "relaxed", "lattice_angstrom": [[3.2715, -3.2760, 0.0000], [3.2715, 3.2760, 0.0000], [0.0000, 0.0000, 3.1224]], "species": ["Co", "Si", "Cl", "Cl"], "frac_coords": [[0.0000, 0.0000, 0.0000], [0.5000, 0.5000, 0.0000], [0.0000, 0.5000, 0.5000], [0.5000, 0.0000, 0.5000]], "volume_a3_per_atom": 16.7, "n_ef_per_ev_atom": 1.184, "raw_formation_energy_mev_per_atom": 583}


{"formula": "CoSi2Cl", "functional": "PBE-GGA", "state": "relaxed", "lattice_angstrom": [[2.9006, 0.0000, 0.0000], [0.0000, 2.9006, 0.0000], [0.0000, 0.0000, 6.8673]], "species": ["Co", "Si", "Si", "Cl"], "frac_coords": [[0.0000, 0.0000, 0.0000], [0.5000, 0.5000, 0.1977], [0.5000, 0.5000, 0.8023], [0.0000, 0.0000, 0.5000]], "volume_a3_per_atom": 14.4, "n_ef_per_ev_atom": 0.658, "raw_formation_energy_mev_per_atom": 135}


{"formula": "CoSi2Cl", "functional": "PBE-GGA", "state": "relaxed", "lattice_angstrom": [[0.0000, 3.1073, 3.1073], [3.1073, 0.0000, 3.1073], [3.1073, 3.1073, 0.0000]], "species": ["Co", "Si", "Si", "Cl"], "frac_coords": [[0.0000, 0.0000, 0.0000], [0.2500, 0.2500, 0.2500], [0.7500, 0.7500, 0.7500], [0.5000, 0.5000, 0.5000]], "volume_a3_per_atom": 15.0, "n_ef_per_ev_atom": 1.401, "raw_formation_energy_mev_per_atom": 773}


{"formula": "CoSi2Cl", "functional": "PBE-GGA", "state": "relaxed", "lattice_angstrom": [[5.6991, -1.3653, 0.0000], [5.6991, 1.3653, 0.0000], [-1.4592, 0.0000, 3.8160]], "species": ["Co", "Si", "Si", "Cl"], "frac_coords": [[0.0000, 0.0000, 0.0000], [0.3057, 0.3057, 0.8059], [0.6943, 0.6943, 0.1941], [0.5000, 0.5000, 0.5000]], "volume_a3_per_atom": 14.8, "n_ef_per_ev_atom": 0.696, "raw_formation_energy_mev_per_atom": 309}


{"formula": "CoSiCl2", "functional": "PBE-GGA", "state": "relaxed", "lattice_angstrom": [[-4.4021, 4.4021, 2.2044], [4.4021, -4.4021, 2.2044], [4.4021, 4.4021, -2.2044]], "species": ["Co", "Co", "Si", "Si", "Cl", "Cl", "Cl", "Cl"], "frac_coords": [[0.0000, 0.0000, 0.0000], [0.7500, 0.2500, 0.5000], [0.2500, 0.7500, 0.5000], [0.5000, 0.5000, 0.0000], [0.3750, 0.2148, 0.3398], [0.7852, 0.1250, 0.1602], [0.8750, 0.0352, 0.6602], [0.9648, 0.6250, 0.8398]], "volume_a3_per_atom": 21.4, "n_ef_per_ev_atom": 0.255, "raw_formation_energy_mev_per_atom": -28}


{"formula": "CoSiCl2", "functional": "PBE-GGA", "state": "relaxed", "lattice_angstrom": [[3.0326, 0.0000, 0.0000], [0.0000, 3.0326, 0.0000], [0.0000, 0.0000, 8.8570]], "species": ["Co", "Si", "Cl", "Cl"], "frac_coords": [[0.0000, 0.0000, 0.0000], [0.5000, 0.5000, 0.8803], [0.0000, 0.0000, 0.2412], [0.5000, 0.5000, 0.6502]], "volume_a3_per_atom": 20.4, "n_ef_per_ev_atom": 0.614, "raw_formation_energy_mev_per_atom": -299}


{"formula": "CoSiCl2", "functional": "PBE-GGA", "state": "relaxed", "lattice_angstrom": [[1.5782, 0.9112, 8.7402], [-1.5782, 0.9112, 8.7402], [0.0000, -1.8224, 8.7402]], "species": ["Co", "Si", "Cl", "Cl"], "frac_coords": [[0.0000, 0.0000, 0.0000], [0.5000, 0.5000, 0.5000], [0.0812, 0.0812, 0.0812], [0.9188, 0.9188, 0.9188]], "volume_a3_per_atom": 18.9, "n_ef_per_ev_atom": 0.725, "raw_formation_energy_mev_per_atom": 313}


{"formula": "CoSiCl2", "functional": "PBE-GGA", "state": "relaxed", "lattice_angstrom": [[1.5253, -3.1042, 0.0000], [1.5253, 3.1042, 0.0000], [0.0000, 0.0000, 8.9943]], "species": ["Co", "Si", "Cl", "Cl"], "frac_coords": [[0.0000, 0.0000, 0.0000], [0.5000, 0.5000, 0.8083], [0.0000, 0.0000, 0.6035], [0.5000, 0.5000, 0.1841]], "volume_a3_per_atom": 21.3, "n_ef_per_ev_atom": 0.642, "raw_formation_energy_mev_per_atom": -17}


{"formula": "CoSiCl2", "functional": "PBE-GGA", "state": "relaxed", "lattice_angstrom": [[3.1161, 0.0000, 0.0000], [0.0000, 3.6624, 0.0000], [-0.0683, 0.0000, 6.7749]], "species": ["Co", "Si", "Cl", "Cl"], "frac_coords": [[0.0000, 0.0000, 0.0000], [0.0000, 0.0000, 0.5000], [0.0675, 0.5000, 0.7787], [0.9325, 0.5000, 0.2213]], "volume_a3_per_atom": 19.3, "n_ef_per_ev_atom": 0.943, "raw_formation_energy_mev_per_atom": 288}


{"formula": "CoSi2Cl", "functional": "PBE-GGA", "state": "relaxed", "lattice_angstrom": [[3.0563, 0.0000, 0.0000], [0.0000, 3.0563, 0.0000], [0.0000, 0.0000, 7.2340]], "species": ["Co", "Si", "Si", "Cl"], "frac_coords": [[0.0000, 0.0000, 0.0000], [0.0000, 0.0000, 0.3329], [0.5000, 0.5000, 0.1266], [0.5000, 0.5000, 0.7741]], "volume_a3_per_atom": 16.9, "n_ef_per_ev_atom": 0.449, "raw_formation_energy_mev_per_atom": 141}


{"formula": "CoSiCl2", "functional": "PBE-GGA", "state": "relaxed", "lattice_angstrom": [[1.5559, -2.9099, 0.0000], [1.5559, 2.9099, 0.0000], [0.0000, 0.0000, 8.4136]], "species": ["Co", "Si", "Cl", "Cl"], "frac_coords": [[0.0000, 0.0000, 0.0000], [0.0000, 0.0000, 0.5000], [0.5000, 0.5000, 0.2046], [0.5000, 0.5000, 0.7954]], "volume_a3_per_atom": 19.0, "n_ef_per_ev_atom": 1.076, "raw_formation_energy_mev_per_atom": 253}